Arrangement P

VASP calculation (PBE) on a geometry-optimized TmHgSeO structure.

Cell and atoms, written as POSCAR:
```
TmHgSeO
1.0
3.970 0.000 0.000
0.000 3.970 0.000
0.000 0.000 10.080
Hg Tm Se O
2 2 2 2
direct
0.250 0.750 0.500
0.750 0.250 0.500
0.750 0.750 0.899
0.250 0.250 0.101
0.750 0.750 0.257
0.250 0.250 0.743
0.750 0.250 0.000
0.250 0.750 0.000
```

***

Arrangement Q

VASP calculation (PBE) on a geometry-optimized TmHgSeO structure.

Cell and atoms, written as POSCAR:
```
TmHgSeO
1.0
5.622 0.000 0.000
0.000 5.615 0.000
-0.414 0.000 12.991
O Hg Se Tm
4 4 4 4
direct
0.246 0.069 0.000
0.750 0.071 0.000
0.754 0.569 0.000
0.250 0.571 0.000
0.002 0.841 0.738
0.632 0.595 0.496
0.368 0.095 0.504
0.998 0.341 0.262
0.314 0.154 0.761
0.686 0.654 0.239
0.694 0.527 0.755
0.306 0.027 0.245
0.995 0.323 0.921
0.497 0.821 0.922
0.005 0.823 0.079
0.503 0.321 0.078
```

***

Which of them is the most stable? Correct choice: arrangement Q.

***

Arrangement P

VASP calculation (PBE) on a geometry-optimized ZnHgSeO structure.

Cell and atoms, written as POSCAR:
```
ZnHgSeO
1.0
-0.549 1.553 -3.492
2.279 -3.091 0.401
-9.182 -6.986 -1.663
Hg Se Zn O
2 2 2 2
direct
0.667 0.333 0.770
0.333 0.667 0.270
0.667 0.333 0.090
0.333 0.667 0.590
0.000 0.000 0.498
0.000 0.000 0.998
0.000 0.000 0.331
0.000 0.000 0.831
```

***

Arrangement Q

VASP calculation (PBE) on a geometry-optimized ZnHgSeO structure.

Cell and atoms, written as POSCAR:
```
ZnHgSeO
1.0
3.334 -0.996 1.424
2.615 4.289 -3.123
0.803 3.575 5.582
Se Zn O Hg
2 2 2 2
direct
0.721 0.750 0.557
0.279 0.250 0.443
0.899 0.250 0.202
0.101 0.750 0.798
0.000 0.000 0.000
0.000 0.500 0.000
0.401 0.750 0.198
0.599 0.250 0.802
```

***

Which of them is the most stable? Correct choice: arrangement P.

***

Arrangement P

VASP calculation (PBE) on a geometry-optimized SnHg2O4 structure.

Cell and atoms, written as POSCAR:
```
SnHg2O4
1.0
3.965 -5.227 0.000
3.965 5.227 0.000
-2.510 0.000 4.858
O Sn Hg
8 2 4
direct
0.154 0.667 0.966
0.333 0.846 0.534
0.158 0.206 0.577
0.842 0.794 0.423
0.794 0.842 0.923
0.667 0.154 0.466
0.206 0.158 0.077
0.846 0.333 0.034
0.097 0.903 0.250
0.903 0.097 0.750
0.215 0.492 0.441
0.785 0.508 0.559
0.492 0.215 0.941
0.508 0.785 0.059
```

***

Arrangement Q

VASP calculation (PBE) on a geometry-optimized SnHg2O4 structure.

Cell and atoms, written as POSCAR:
```
SnHg2O4
1.0
-1.740 -5.058 2.120
2.664 -4.591 -8.767
2.974 -0.528 1.180
Hg O Sn
4 8 2
direct
0.443 0.827 0.500
0.943 0.673 0.500
0.057 0.327 0.500
0.557 0.173 0.500
0.228 0.039 0.500
0.132 0.811 0.000
0.368 0.311 0.000
0.868 0.189 0.000
0.772 0.961 0.500
0.272 0.539 0.500
0.728 0.461 0.500
0.632 0.689 0.000
0.000 0.000 0.000
0.500 0.500 0.000
```

***

Which of them is the most stable? Correct choice: arrangement Q.